No. 1
Entry from Alexandria: an optimized crystal structure of Mn2CrRe (PBE).

extended XYZ file:
```
4
Lattice="2.575 -0.005 0.000 -0.753 2.463 0.000 0.000 0.000 7.967" Properties=species:S:1:pos:R:3 pbc="T T T"
Cr 0.911 1.229 5.975
Mn 0.000 0.000 7.863
Mn 0.000 0.000 4.087
Re 0.911 1.229 1.992
```

Properties
formation energy	0.12	eV per atom
density of states at the Fermi level	3.96	states/eV per cell


No. 2
Entry from Alexandria: an optimized crystal structure of Mn2CrRe (PBE).

extended XYZ file:
```
4
Lattice="4.495 0.007 -0.001 3.731 2.507 -0.001 0.787 0.241 4.395" Properties=species:S:1:pos:R:3 pbc="T T T"
Cr 2.303 0.704 1.021
Mn 0.825 0.252 4.392
Mn 6.707 2.050 3.348
Re 4.471 1.367 2.224
```

Properties
formation energy	0.14	eV per atom
density of states at the Fermi level	5.26	states/eV per cell